First-principles (PBE-GGA) data for an optimized crystal structure of Cr2Si, as listed in Alexandria via LeMat-Bulk.

Cell: 4.5759 4.5759 4.5759 Å, 142.85 142.85 53.55°
Atoms (fractional coordinates):
Cr: 0.3269 0.3269 0.0000
Cr: 0.6731 0.6731 0.0000
Si: 0.0000 0.0000 0.0000

Formation energy without anion corrections, eV per atom: -0.247
Crystal system: tetragonal